Below is Ce4AlZn2 after structural relaxation, with properties calculated at the GGA-PBE level.

Summary:
Energy relative to the elements = -0.096 eV/atom
Crystal system = trigonal
VASP energy = -30.70 eV per cell
Polymorph energy (0 for the lowest one) = 0.000 eV per atom

a = 7.471 Å, b = 7.471 Å, c = 7.471 Å
α = 40.35°, β = 40.35°, γ = 40.35°
Fractional positions:
Ce 0.094 0.094 0.094
Ce 0.231 0.231 0.231
Ce 0.769 0.769 0.769
Ce 0.906 0.906 0.906
Al 0.500 0.500 0.500
Zn 0.372 0.372 0.372
Zn 0.628 0.628 0.628